Cu3Ag7 | PBE-GGA | relaxed

## Properties
Distance to the lowest polymorph of the same formula ... 0.052 eV/atom
E ... -0.2213 Ry/atom
Crystal system ... monoclinic
Volume ... 16.3 Å³ per atom
Space-group type ... C2/m

```
data_Cu3Ag7
_chemical_formula_sum 'Cu3 Ag7'
_symmetry_space_group_name_H-M 'P 1'
_symmetry_Int_Tables_number 1
_symmetry_space_group_name_Hall 'P 1'
_cell_length_a 7.5212
_cell_length_b 7.5212
_cell_length_c 4.9217
_cell_angle_alpha 96.30
_cell_angle_beta 96.30
_cell_angle_gamma 141.64
loop_
_atom_site_label
_atom_site_fract_x
_atom_site_fract_y
_atom_site_fract_z
_atom_site_occupancy
Cu1 0.0000 0.0000 0.0000 1
Cu2 0.0906 0.9094 0.5000 1
Cu3 0.9094 0.0906 0.5000 1
Ag1 0.1918 0.8082 0.0000 1
Ag2 0.2983 0.7017 0.5000 1
Ag3 0.4014 0.5986 0.0000 1
Ag4 0.5000 0.5000 0.5000 1
Ag5 0.5986 0.4014 0.0000 1
Ag6 0.7017 0.2983 0.5000 1
Ag7 0.8082 0.1918 0.0000 1
```

Cu5Ag3 | PBE-GGA | relaxed

## Properties
Distance to the lowest polymorph of the same formula ... 0.044 eV/atom
E ... -0.2419 Ry/atom
Crystal system ... orthorhombic
Volume ... 14.1 Å³ per atom
Space-group type ... Cmmm

```
data_Cu5Ag3
_chemical_formula_sum 'Cu10 Ag6'
_symmetry_space_group_name_H-M 'P 1'
_symmetry_Int_Tables_number 1
_symmetry_space_group_name_Hall 'P 1'
_cell_length_a 5.5378
_cell_length_b 14.8307
_cell_length_c 2.7501
_cell_angle_alpha 90.00
_cell_angle_beta 90.00
_cell_angle_gamma 90.00
loop_
_atom_site_label
_atom_site_fract_x
_atom_site_fract_y
_atom_site_fract_z
_atom_site_occupancy
Cu1 0.0000 0.0000 0.0000 1
Cu2 0.2301 0.1195 0.5000 1
Cu3 0.2301 0.8805 0.5000 1
Cu4 0.2699 0.3805 0.5000 1
Cu5 0.2699 0.6195 0.5000 1
Cu6 0.5000 0.5000 0.0000 1
Cu7 0.7301 0.3805 0.5000 1
Cu8 0.7301 0.6195 0.5000 1
Cu9 0.7699 0.1195 0.5000 1
Cu10 0.7699 0.8805 0.5000 1
Ag1 0.0000 0.2565 0.0000 1
Ag2 0.0000 0.5000 0.0000 1
Ag3 0.0000 0.7435 0.0000 1
Ag4 0.5000 0.0000 0.0000 1
Ag5 0.5000 0.2435 0.0000 1
Ag6 0.5000 0.7565 0.0000 1
```

Cu7Ag13 | PBE-GGA | relaxed

## Properties
Distance to the lowest polymorph of the same formula ... 0.001 eV/atom
E ... -0.2244 Ry/atom
Crystal system ... triclinic
Volume ... 15.9 Å³ per atom
Space-group type ... P1

```
data_Cu7Ag13
_chemical_formula_sum 'Cu7 Ag13'
_symmetry_space_group_name_H-M 'P 1'
_symmetry_Int_Tables_number 1
_symmetry_space_group_name_Hall 'P 1'
_cell_length_a 5.6905
_cell_length_b 6.2287
_cell_length_c 9.7626
_cell_angle_alpha 97.03
_cell_angle_beta 105.92
_cell_angle_gamma 102.87
loop_
_atom_site_label
_atom_site_fract_x
_atom_site_fract_y
_atom_site_fract_z
_atom_site_occupancy
Cu1 0.0000 0.0000 0.0000 1
Cu2 0.0133 0.9956 0.5170 1
Cu3 0.3187 0.7894 0.7085 1
Cu4 0.4106 0.4034 0.6139 1
Cu5 0.7211 0.1862 0.8146 1
Cu6 0.8037 0.8042 0.7132 1
Cu7 0.9082 0.3794 0.0993 1
Ag1 0.1055 0.6031 0.9067 1
Ag2 0.1161 0.6054 0.4175 1
Ag3 0.2044 0.1720 0.7985 1
Ag4 0.2061 0.1957 0.3148 1
Ag5 0.3050 0.7940 0.2050 1
Ag6 0.3987 0.3831 0.1051 1
Ag7 0.5126 0.0105 0.5287 1
Ag8 0.5224 0.9957 0.0018 1
Ag9 0.6090 0.5816 0.8973 1
Ag10 0.6177 0.6090 0.4226 1
Ag11 0.7152 0.1945 0.3126 1
Ag12 0.8115 0.7830 0.2032 1
Ag13 0.9149 0.4019 0.6178 1
```

Cu3Ag7 | PBE-GGA | relaxed

## Properties
Distance to the lowest polymorph of the same formula ... 0.058 eV/atom
E ... -0.2209 Ry/atom
Crystal system ... triclinic
Volume ... 16.3 Å³ per atom
Space-group type ... P-1

```
data_Cu3Ag7
_chemical_formula_sum 'Cu3 Ag7'
_symmetry_space_group_name_H-M 'P 1'
_symmetry_Int_Tables_number 1
_symmetry_space_group_name_Hall 'P 1'
_cell_length_a 4.9000
_cell_length_b 4.9514
_cell_length_c 7.5138
_cell_angle_alpha 102.52
_cell_angle_beta 108.48
_cell_angle_gamma 99.90
loop_
_atom_site_label
_atom_site_fract_x
_atom_site_fract_y
_atom_site_fract_z
_atom_site_occupancy
Cu1 0.0000 0.0000 0.0000 1
Cu2 0.3996 0.2002 0.4004 1
Cu3 0.6004 0.7998 0.5996 1
Ag1 0.0000 0.5000 0.5000 1
Ag2 0.1961 0.0922 0.6971 1
Ag3 0.2055 0.6039 0.2055 1
Ag4 0.4077 0.7066 0.8987 1
Ag5 0.5923 0.2934 0.1013 1
Ag6 0.7945 0.3961 0.7945 1
Ag7 0.8039 0.9078 0.3029 1
```

CuAg2 | PBE-GGA | relaxed

## Properties
Distance to the lowest polymorph of the same formula ... 0.044 eV/atom
E ... -0.2240 Ry/atom
Crystal system ... monoclinic
Volume ... 16.0 Å³ per atom
Space-group type ... Cm

```
data_CuAg2
_chemical_formula_sum 'Cu3 Ag6'
_symmetry_space_group_name_H-M 'P 1'
_symmetry_Int_Tables_number 1
_symmetry_space_group_name_Hall 'P 1'
_cell_length_a 6.0933
_cell_length_b 6.0933
_cell_length_c 8.7798
_cell_angle_alpha 103.88
_cell_angle_beta 103.88
_cell_angle_gamma 27.05
loop_
_atom_site_label
_atom_site_fract_x
_atom_site_fract_y
_atom_site_fract_z
_atom_site_occupancy
Cu1 0.0000 0.0000 0.0000 1
Cu2 0.0031 0.0031 0.6654 1
Cu3 0.6625 0.6625 0.5766 1
Ag1 0.0063 0.0063 0.3580 1
Ag2 0.3242 0.3242 0.4589 1
Ag3 0.3423 0.3423 0.7830 1
Ag4 0.3426 0.3426 0.1136 1
Ag5 0.6560 0.6560 0.8846 1
Ag6 0.6606 0.6606 0.2152 1
```

CuAg | PBE-GGA | relaxed

## Properties
E ... -0.2332 Ry/atom
Crystal system ... monoclinic
Volume ... 15.0 Å³ per atom
Space-group type ... Cm

```
data_CuAg
_chemical_formula_sum 'Cu5 Ag5'
_symmetry_space_group_name_H-M 'P 1'
_symmetry_Int_Tables_number 1
_symmetry_space_group_name_Hall 'P 1'
_cell_length_a 7.3855
_cell_length_b 7.3855
_cell_length_c 5.5967
_cell_angle_alpha 102.45
_cell_angle_beta 102.45
_cell_angle_gamma 30.16
loop_
_atom_site_label
_atom_site_fract_x
_atom_site_fract_y
_atom_site_fract_z
_atom_site_occupancy
Cu1 0.0000 0.0000 0.0000 1
Cu2 0.0031 0.0031 0.5260 1
Cu3 0.1929 0.1929 0.6072 1
Cu4 0.5929 0.5929 0.8024 1
Cu5 0.7967 0.7967 0.4110 1
Ag1 0.1933 0.1933 0.1057 1
Ag2 0.3994 0.3994 0.2128 1
Ag3 0.4003 0.4003 0.7045 1
Ag4 0.5973 0.5973 0.3207 1
Ag5 0.7913 0.7913 0.8919 1
```

Cu6Ag | PBE-GGA | relaxed

## Properties
Distance to the lowest polymorph of the same formula ... 0.009 eV/atom
E ... -0.2598 Ry/atom
Crystal system ... trigonal
Volume ... 12.7 Å³ per atom
Space-group type ... R-3

```
data_Cu6Ag
_chemical_formula_sum 'Cu6 Ag1'
_symmetry_space_group_name_H-M 'P 1'
_symmetry_Int_Tables_number 1
_symmetry_space_group_name_Hall 'P 1'
_cell_length_a 4.5331
_cell_length_b 4.5331
_cell_length_c 4.5331
_cell_angle_alpha 99.48
_cell_angle_beta 99.48
_cell_angle_gamma 99.48
loop_
_atom_site_label
_atom_site_fract_x
_atom_site_fract_y
_atom_site_fract_z
_atom_site_occupancy
Cu1 0.0755 0.6481 0.7988 1
Cu2 0.2012 0.9245 0.3519 1
Cu3 0.3519 0.2012 0.9245 1
Cu4 0.6481 0.7988 0.0755 1
Cu5 0.7988 0.0755 0.6481 1
Cu6 0.9245 0.3519 0.2012 1
Ag1 0.5000 0.5000 0.5000 1
```

CuAg | PBE-GGA | relaxed

## Properties
E ... -0.2358 Ry/atom
Crystal system ... tetragonal
Volume ... 15.0 Å³ per atom
Space-group type ... P4/nmm

```
data_CuAg
_chemical_formula_sum 'Cu2 Ag2'
_symmetry_space_group_name_H-M 'P 1'
_symmetry_Int_Tables_number 1
_symmetry_space_group_name_Hall 'P 1'
_cell_length_a 2.8489
_cell_length_b 2.8489
_cell_length_c 7.3776
_cell_angle_alpha 90.00
_cell_angle_beta 90.00
_cell_angle_gamma 90.00
loop_
_atom_site_label
_atom_site_fract_x
_atom_site_fract_y
_atom_site_fract_z
_atom_site_occupancy
Cu1 0.2500 0.2500 0.1010 1
Cu2 0.7500 0.7500 0.8990 1
Ag1 0.2500 0.2500 0.6472 1
Ag2 0.7500 0.7500 0.3528 1
```

CuAg2 | PBE-GGA | relaxed

## Properties
Distance to the lowest polymorph of the same formula ... 0.019 eV/atom
E ... -0.2257 Ry/atom
Crystal system ... tetragonal
Volume ... 15.9 Å³ per atom
Space-group type ... I4mm

```
data_CuAg2
_chemical_formula_sum 'Cu3 Ag6'
_symmetry_space_group_name_H-M 'P 1'
_symmetry_Int_Tables_number 1
_symmetry_space_group_name_Hall 'P 1'
_cell_length_a 17.4251
_cell_length_b 17.4251
_cell_length_c 17.4251
_cell_angle_alpha 170.53
_cell_angle_beta 170.53
_cell_angle_gamma 13.40
loop_
_atom_site_label
_atom_site_fract_x
_atom_site_fract_y
_atom_site_fract_z
_atom_site_occupancy
Cu1 0.0000 0.0000 0.0000 1
Cu2 0.1059 0.1059 0.0000 1
Cu3 0.6483 0.6483 0.0000 1
Ag1 0.2011 0.2011 0.0000 1
Ag2 0.3242 0.3242 0.0000 1
Ag3 0.4472 0.4472 0.0000 1
Ag4 0.5527 0.5527 0.0000 1
Ag5 0.7629 0.7629 0.0000 1
Ag6 0.8856 0.8856 0.0000 1
```

Cu3Ag2 | PBE-GGA | relaxed

## Properties
Distance to the lowest polymorph of the same formula ... 0.055 eV/atom
E ... -0.2398 Ry/atom
Crystal system ... monoclinic
Volume ... 14.2 Å³ per atom
Space-group type ... P2/m

```
data_Cu3Ag2
_chemical_formula_sum 'Cu6 Ag4'
_symmetry_space_group_name_H-M 'P 1'
_symmetry_Int_Tables_number 1
_symmetry_space_group_name_Hall 'P 1'
_cell_length_a 4.6509
_cell_length_b 2.7546
_cell_length_c 11.1432
_cell_angle_alpha 90.00
_cell_angle_beta 94.80
_cell_angle_gamma 90.00
loop_
_atom_site_label
_atom_site_fract_x
_atom_site_fract_y
_atom_site_fract_z
_atom_site_occupancy
Cu1 0.0000 0.0000 0.0000 1
Cu2 0.1208 0.5000 0.8115 1
Cu3 0.2290 0.0000 0.6221 1
Cu4 0.5000 0.5000 0.0000 1
Cu5 0.7710 0.0000 0.3779 1
Cu6 0.8792 0.5000 0.1885 1
Ag1 0.2617 0.5000 0.4121 1
Ag2 0.3776 0.0000 0.1937 1
Ag3 0.6224 0.0000 0.8063 1
Ag4 0.7383 0.5000 0.5879 1
```

CuAg | PBE-GGA | relaxed

## Properties
E ... -0.2350 Ry/atom
Crystal system ... triclinic
Volume ... 15.0 Å³ per atom
Space-group type ... P1

```
data_CuAg
_chemical_formula_sum 'Cu4 Ag4'
_symmetry_space_group_name_H-M 'P 1'
_symmetry_Int_Tables_number 1
_symmetry_space_group_name_Hall 'P 1'
_cell_length_a 2.8045
_cell_length_b 3.6890
_cell_length_c 11.5634
_cell_angle_alpha 89.98
_cell_angle_beta 89.60
_cell_angle_gamma 89.99
loop_
_atom_site_label
_atom_site_fract_x
_atom_site_fract_y
_atom_site_fract_z
_atom_site_occupancy
Cu1 0.0000 0.0000 0.0000 1
Cu2 0.0197 0.9998 0.2140 1
Cu3 0.4867 0.4990 0.8929 1
Cu4 0.5141 0.5004 0.1069 1
Ag1 0.0043 0.9983 0.4817 1
Ag2 0.4930 0.4980 0.6253 1
Ag3 0.5149 0.4989 0.3380 1
Ag4 0.9854 0.9982 0.7690 1
```

CuAg | PBE-GGA | relaxed

## Properties
E ... -0.2349 Ry/atom
Crystal system ... monoclinic
Volume ... 14.9 Å³ per atom
Space-group type ... Pm

```
data_CuAg
_chemical_formula_sum 'Cu32 Ag32'
_symmetry_space_group_name_H-M 'P 1'
_symmetry_Int_Tables_number 1
_symmetry_space_group_name_Hall 'P 1'
_cell_length_a 9.6778
_cell_length_b 8.8530
_cell_length_c 11.7087
_cell_angle_alpha 90.00
_cell_angle_beta 108.00
_cell_angle_gamma 90.00
loop_
_atom_site_label
_atom_site_fract_x
_atom_site_fract_y
_atom_site_fract_z
_atom_site_occupancy
Cu1 0.0000 0.0000 0.0000 1
Cu2 0.9999 0.0000 0.2102 1
Cu3 0.0985 0.5000 0.9350 1
Cu4 0.1045 0.5000 0.1475 1
Cu5 0.1732 0.2486 0.0462 1
Cu6 0.1732 0.7514 0.0462 1
Cu7 0.1872 0.2502 0.2592 1
Cu8 0.1872 0.7498 0.2592 1
Cu9 0.2456 0.0000 0.1640 1
Cu10 0.2527 0.0000 0.9545 1
Cu11 0.3495 0.5000 0.0878 1
Cu12 0.3679 0.5000 0.3029 1
Cu13 0.4252 0.2552 0.2076 1
Cu14 0.4252 0.7448 0.2076 1
Cu15 0.4272 0.2449 0.9973 1
Cu16 0.4272 0.7551 0.9973 1
Cu17 0.4942 0.0000 0.9096 1
Cu18 0.5047 0.0000 0.1214 1
Cu19 0.6023 0.5000 0.2493 1
Cu20 0.6050 0.5000 0.0383 1
Cu21 0.6772 0.2499 0.1568 1
Cu22 0.6772 0.7501 0.1568 1
Cu23 0.6788 0.2510 0.9469 1
Cu24 0.6788 0.7490 0.9469 1
Cu25 0.7513 0.0000 0.0650 1
Cu26 0.7561 0.0000 0.2787 1
Cu27 0.8513 0.5000 0.1953 1
Cu28 0.8608 0.5000 0.9854 1
Cu29 0.9126 0.2534 0.8829 1
Cu30 0.9126 0.7466 0.8829 1
Cu31 0.9302 0.2504 0.0986 1
Cu32 0.9302 0.7496 0.0986 1
Ag1 0.1172 0.5000 0.6504 1
Ag2 0.1432 0.5000 0.3855 1
Ag3 0.1577 0.2565 0.8179 1
Ag4 0.1577 0.7435 0.8179 1
Ag5 0.1894 0.2422 0.5450 1
Ag6 0.1894 0.7578 0.5450 1
Ag7 0.2259 0.0000 0.3984 1
Ag8 0.2322 0.0000 0.7098 1
Ag9 0.3524 0.5000 0.8645 1
Ag10 0.3864 0.5000 0.6032 1
Ag11 0.4241 0.2614 0.4529 1
Ag12 0.4241 0.7386 0.4529 1
Ag13 0.4313 0.2396 0.7621 1
Ag14 0.4313 0.7604 0.7621 1
Ag15 0.4651 0.0000 0.6100 1
Ag16 0.4902 0.0000 0.3417 1
Ag17 0.6209 0.5000 0.8108 1
Ag18 0.6295 0.5000 0.5142 1
Ag19 0.6706 0.2533 0.6764 1
Ag20 0.6706 0.7467 0.6764 1
Ag21 0.6831 0.2462 0.3861 1
Ag22 0.6831 0.7538 0.3861 1
Ag23 0.7207 0.0000 0.8303 1
Ag24 0.7260 0.0000 0.5520 1
Ag25 0.8737 0.5000 0.4348 1
Ag26 0.8756 0.5000 0.7406 1
Ag27 0.9202 0.2550 0.6018 1
Ag28 0.9202 0.7450 0.6018 1
Ag29 0.9475 0.2421 0.3273 1
Ag30 0.9475 0.7579 0.3273 1
Ag31 0.9710 0.0000 0.7646 1
Ag32 0.9827 0.0000 0.4875 1
```